Tl2CdTe | PBEsol | relaxed

Properties
- SG: F-43m, No. 216
- Raw formation energy: -0.0062 eV per atom

Unit cell a=7.668 b=7.668 c=7.668 alpha=90.00 beta=90.00 gamma=90.00
Positions (direct):
Tl (0.000, 0.000, 0.000)
Tl (0.000, 0.500, 0.500)
Tl (0.250, 0.250, 0.250)
Tl (0.250, 0.750, 0.750)
Tl (0.500, 0.000, 0.500)
Tl (0.500, 0.500, 0.000)
Tl (0.750, 0.250, 0.750)
Tl (0.750, 0.750, 0.250)
Cd (0.250, 0.250, 0.750)
Cd (0.250, 0.750, 0.250)
Cd (0.750, 0.250, 0.250)
Cd (0.750, 0.750, 0.750)
Te (0.000, 0.000, 0.500)
Te (0.000, 0.500, 0.000)
Te (0.500, 0.000, 0.000)
Te (0.500, 0.500, 0.500)